MnSnNF2 after structural relaxation. Source: the Alexandria database, functional PBE with a Hubbard U.

Cell: 4.377 4.377 4.129 Å, 90.00 90.00 90.00°
Fractional positions:
Mn 0.000 0.000 0.000
Sn 0.500 0.500 0.500
N 0.500 0.500 0.000
F 0.000 0.500 0.500
F 0.500 0.000 0.500

Calculated values
Total DFT energy (no corrections) in eV/cell: -26.8
Polymorph energy (0 for the lowest one) in meV/atom: 337